(1)
VASP calculation (GGA-PBE) on an optimized crystal structure of ZnPb2Se.

```
data_ZnPb2Se
_cell_length_a 5.980
_cell_length_b 5.980
_cell_length_c 5.980
_cell_angle_alpha 143.89
_cell_angle_beta 123.89
_cell_angle_gamma 68.57
_space_group_name_H-M_alt 'P 1'
_space_group_IT_number 1
loop_
_space_group_symop_operation_xyz
'x,y,z'
loop_
_atom_site_label
_atom_site_type_symbol
_atom_site_fract_x
_atom_site_fract_y
_atom_site_fract_z
Pb1 Pb 0.964 0.964 0.000
Pb2 Pb 0.268 0.768 0.500
Se1 Se 0.546 0.546 0.000
Zn1 Zn 0.722 0.222 0.500
```

## Properties
* V: 103.0 Å³/cell
* uncorrected formation energy: -0.059 eV per atom
* ΔE to the lowest computed polymorph: 2.183 kcal/mol of atoms
* SG: Imm2, No. 44
* M_tot: 0.000 μB per formula unit

(2)
VASP calculation (GGA-PBE) on an optimized crystal structure of Sc6TeAs3S2.

```
data_Sc6TeAs3S2
_cell_length_a 3.865
_cell_length_b 7.773
_cell_length_c 8.650
_cell_angle_alpha 102.95
_cell_angle_beta 102.91
_cell_angle_gamma 90.00
_space_group_name_H-M_alt 'P 1'
_space_group_IT_number 1
loop_
_space_group_symop_operation_xyz
'x,y,z'
loop_
_atom_site_label
_atom_site_type_symbol
_atom_site_fract_x
_atom_site_fract_y
_atom_site_fract_z
Sc1 Sc 0.322 0.909 0.645
Sc2 Sc 0.669 0.584 0.338
Sc3 Sc 0.678 0.091 0.355
Sc4 Sc 0.004 0.275 0.009
Sc5 Sc 0.996 0.725 0.991
Sc6 Sc 0.331 0.416 0.662
Te1 Te 0.500 0.000 0.000
As1 As 0.500 0.500 0.000
As2 As 0.838 0.168 0.676
As3 As 0.162 0.832 0.324
S1 S 0.831 0.664 0.662
S2 S 0.169 0.336 0.338
```

## Properties
* V: 246.5 Å³/cell
* uncorrected formation energy: -1.501 eV per atom
* SG: C2/m, No. 12
* M_tot: 0.000 μB per formula unit

(3)
VASP calculation (GGA-PBE) on an optimized crystal structure of AlMo2AsPd.

```
data_AlMo2AsPd
_cell_length_a 4.605
_cell_length_b 4.575
_cell_length_c 4.605
_cell_angle_alpha 90.00
_cell_angle_beta 90.00
_cell_angle_gamma 90.00
_space_group_name_H-M_alt 'P 1'
_space_group_IT_number 1
loop_
_space_group_symop_operation_xyz
'x,y,z'
loop_
_atom_site_label
_atom_site_type_symbol
_atom_site_fract_x
_atom_site_fract_y
_atom_site_fract_z
Mo1 Mo 0.000 0.000 0.500
Mo2 Mo 0.500 0.000 0.000
As1 As 0.000 0.500 0.000
Pd1 Pd 0.500 0.500 0.500
Al1 Al 0.000 0.000 0.000
```

## Properties
* V: 97.0 Å³/cell
* E_form: 140.7 kJ per mole of atoms
* SG: P4/mmm, No. 123
* M_tot: 1.476 μB per formula unit

(4)
VASP calculation (GGA-PBE) on an optimized crystal structure of NaPHS2.

```
data_NaPHS2
_cell_length_a 4.955
_cell_length_b 4.955
_cell_length_c 3.094
_cell_angle_alpha 90.00
_cell_angle_beta 90.00
_cell_angle_gamma 90.00
_space_group_name_H-M_alt 'P 1'
_space_group_IT_number 1
loop_
_space_group_symop_operation_xyz
'x,y,z'
loop_
_atom_site_label
_atom_site_type_symbol
_atom_site_fract_x
_atom_site_fract_y
_atom_site_fract_z
P1 P 0.000 0.000 0.500
S1 S 0.000 0.500 0.000
S2 S 0.500 0.000 0.000
H1 H 0.000 0.000 0.000
Na1 Na 0.500 0.500 0.500
```

## Properties
* V: 76.0 Å³/cell
* ΔE to the lowest computed polymorph: 0.000 kcal/mol of atoms
* SG: P4/mmm, No. 123
* M_tot: 0.000 μB per formula unit

(5)
VASP calculation (GGA-PBE) on an optimized crystal structure of CsLiTe2.

```
data_CsLiTe2
_cell_length_a 7.029
_cell_length_b 7.201
_cell_length_c 7.031
_cell_angle_alpha 90.00
_cell_angle_beta 76.87
_cell_angle_gamma 90.01
_space_group_name_H-M_alt 'P 1'
_space_group_IT_number 1
loop_
_space_group_symop_operation_xyz
'x,y,z'
loop_
_atom_site_label
_atom_site_type_symbol
_atom_site_fract_x
_atom_site_fract_y
_atom_site_fract_z
Cs1 Cs 0.214 0.234 0.859
Cs2 Cs 0.714 0.551 0.359
Te1 Te 0.251 0.738 0.082
Te2 Te 0.751 0.047 0.582
Te3 Te 0.491 0.048 0.322
Te4 Te 0.991 0.737 0.822
Li1 Li 0.123 0.892 0.451
Li2 Li 0.623 0.892 0.951
```

## Properties
* V: 346.6 Å³/cell
* uncorrected formation energy: -0.807 eV per atom
* ΔE to the lowest computed polymorph: 0.418 kcal/mol of atoms
* SG: Pc, No. 7
* M_tot: 0.000 μB per formula unit

(6)
VASP calculation (GGA-PBE) on an optimized crystal structure of Sc2BeTe.

```
data_Sc2BeTe
_cell_length_a 3.499
_cell_length_b 3.499
_cell_length_c 6.787
_cell_angle_alpha 90.00
_cell_angle_beta 90.00
_cell_angle_gamma 90.02
_space_group_name_H-M_alt 'P 1'
_space_group_IT_number 1
loop_
_space_group_symop_operation_xyz
'x,y,z'
loop_
_atom_site_label
_atom_site_type_symbol
_atom_site_fract_x
_atom_site_fract_y
_atom_site_fract_z
Sc1 Sc 0.000 0.000 0.968
Sc2 Sc 0.500 0.500 0.271
Be1 Be 0.500 0.500 0.722
Te1 Te 0.000 0.000 0.539
```

## Properties
* V: 83.1 Å³/cell
* uncorrected formation energy: -0.098 eV per atom
* ΔE to the lowest computed polymorph: 8.805 kcal/mol of atoms
* SG: P4mm, No. 99
* M_tot: 0.002 μB per formula unit

(7)
VASP calculation (GGA-PBE) on an optimized crystal structure of Ac8Mg2Co3.

```
data_Ac8Mg2Co3
_cell_length_a 7.083
_cell_length_b 8.045
_cell_length_c 10.089
_cell_angle_alpha 113.50
_cell_angle_beta 110.70
_cell_angle_gamma 90.00
_space_group_name_H-M_alt 'P 1'
_space_group_IT_number 1
loop_
_space_group_symop_operation_xyz
'x,y,z'
loop_
_atom_site_label
_atom_site_type_symbol
_atom_site_fract_x
_atom_site_fract_y
_atom_site_fract_z
Ac1 Ac 0.026 0.371 0.742
Ac2 Ac 0.974 0.629 0.258
Ac3 Ac 0.073 0.907 0.815
Ac4 Ac 0.927 0.093 0.185
Ac5 Ac 0.405 0.822 0.169
Ac6 Ac 0.405 0.347 0.169
Ac7 Ac 0.595 0.653 0.831
Ac8 Ac 0.595 0.178 0.831
Mg1 Mg 0.551 0.755 0.510
Mg2 Mg 0.449 0.245 0.490
Co1 Co 0.500 0.000 0.000
Co2 Co 0.000 0.303 0.000
Co3 Co 0.000 0.697 0.000
```

## Properties
* V: 486.5 Å³/cell
* E_form: 5.8 kJ per mole of atoms
* SG: C2/m, No. 12
* M_tot: 0.000 μB per formula unit

(8)
VASP calculation (GGA-PBE) on an optimized crystal structure of Mg5In2Pd2Pt.

```
data_Mg5In2Pd2Pt
_cell_length_a 3.245
_cell_length_b 10.998
_cell_length_c 10.998
_cell_angle_alpha 90.00
_cell_angle_beta 90.00
_cell_angle_gamma 90.00
_space_group_name_H-M_alt 'P 1'
_space_group_IT_number 1
loop_
_space_group_symop_operation_xyz
'x,y,z'
loop_
_atom_site_label
_atom_site_type_symbol
_atom_site_fract_x
_atom_site_fract_y
_atom_site_fract_z
Mg1 Mg 0.500 0.193 0.051
Mg2 Mg 0.500 0.807 0.949
Mg3 Mg 0.500 0.051 0.807
Mg4 Mg 0.500 0.693 0.449
Mg5 Mg 0.500 0.949 0.193
Mg6 Mg 0.500 0.307 0.551
Mg7 Mg 0.500 0.551 0.693
Mg8 Mg 0.500 0.449 0.307
Mg9 Mg 0.500 0.500 0.000
Mg10 Mg 0.500 0.000 0.500
In1 In 0.000 0.677 0.177
In2 In 0.000 0.323 0.823
In3 In 0.000 0.177 0.323
In4 In 0.000 0.823 0.677
Pd1 Pd 0.000 0.137 0.637
Pd2 Pd 0.000 0.863 0.363
Pd3 Pd 0.000 0.637 0.863
Pd4 Pd 0.000 0.363 0.137
Pt1 Pt 0.000 0.000 0.000
Pt2 Pt 0.000 0.500 0.500
```

## Properties
* V: 392.6 Å³/cell
* E_form: -48.2 kJ per mole of atoms
* SG: P4/mbm, No. 127
* M_tot: 0.000 μB per formula unit